## TaCrGe2Os (PBE)

Data for TaCrGe2Os after structural relaxation.

Structure (POSCAR):
```
TaCrGe2Os
1.0
4.6782 0.0000 0.0000
0.0000 4.6782 0.0000
0.0000 0.0000 4.7213
Ge Ta Os Cr
2 1 1 1
direct
0.5000 0.0000 0.0000
0.0000 0.5000 0.0000
0.5000 0.5000 0.5000
0.0000 0.0000 0.0000
0.0000 0.0000 0.5000
```

## Properties
Its calculated total energy is -7.17 eV per atom. The calculation puts the energy of formation at 1.216 eV per atom. As for the space-group type: P4/mmm, No. 123.

***

## ScReP3 (PBE)

Data for ScReP3 after structural relaxation.

Structure (POSCAR):
```
ScReP3
1.0
4.7045 0.0000 0.0000
0.0000 4.7045 0.0000
0.0000 0.0000 4.7045
Re P Sc
1 3 1
direct
0.5000 0.5000 0.5000
0.0000 0.0000 0.5000
0.0000 0.5000 0.0000
0.5000 0.0000 0.0000
0.0000 0.0000 0.0000
```

## Properties
Its calculated total energy is -5.47 eV per atom. The calculation puts the energy of formation at 1.535 eV per atom. As for the space-group type: Pm-3m, No. 221. Its energy relative to the lowest polymorph listed for this composition is 1.236 eV per atom.

***

## TaBi2W2 (PBE)

Data for TaBi2W2 after structural relaxation.

Structure (POSCAR):
```
TaBi2W2
1.0
-0.1812 -3.7800 1.4818
3.0748 0.8408 2.5210
-3.2087 0.6962 6.9571
Bi Ta W
2 1 2
direct
0.2500 0.7500 0.5000
0.7500 0.2500 0.5000
0.0000 0.0000 0.0000
0.5824 0.5824 0.8352
0.4176 0.4176 0.1648
```

## Properties
Its calculated total energy is -7.80 eV per atom. The calculation puts the energy of formation at 1.305 eV per atom. As for the space-group type: I4/mmm, No. 139. Its energy relative to the lowest polymorph listed for this composition is 0.295 eV per atom.

***

## Li2InIr2 (PBE)

Data for Li2InIr2 after structural relaxation.

Structure (POSCAR):
```
Li2InIr2
1.0
-2.4595 5.8327 -2.9167
0.6104 -2.8977 -6.3093
-2.9216 -1.1168 0.2303
Li Ir In
4 4 2
direct
0.1665 0.6665 0.5000
0.6665 0.8335 0.5000
0.8335 0.3335 0.5000
0.3335 0.1665 0.5000
0.6282 0.1282 0.0000
0.1282 0.3718 0.0000
0.3718 0.8718 0.0000
0.8718 0.6282 0.0000
0.0000 0.0000 0.0000
0.5000 0.5000 0.0000
```

## Properties
Its calculated total energy is -4.84 eV per atom. The calculation puts the energy of formation at 0.021 eV per atom. As for the space-group type: P4/mbm, No. 127. Its energy relative to the lowest polymorph listed for this composition is 0.000 eV per atom.

***

## Li23Ga6Fe (PBE)

Data for Li23Ga6Fe after structural relaxation.

Structure (POSCAR):
```
Li23Ga6Fe
1.0
-7.1014 -4.0990 -3.5588
1.0043 -7.8045 -4.2400
-3.1288 -7.5208 3.6805
Li Fe Ga
23 1 6
direct
0.6344 0.1219 0.1219
0.6233 0.6233 0.6233
0.5000 0.0000 0.5000
0.0000 0.5000 0.0000
0.8699 0.3767 0.3767
0.0000 0.0000 0.0000
0.1219 0.6344 0.1219
0.3656 0.8781 0.8781
0.8781 0.3656 0.8781
0.3767 0.8699 0.3767
0.6233 0.6233 0.1301
0.1301 0.6233 0.6233
0.0000 0.0000 0.5000
0.6233 0.1301 0.6233
0.3767 0.3767 0.8699
0.5000 0.5000 0.0000
0.3767 0.3767 0.3767
0.5000 0.0000 0.0000
0.1219 0.1219 0.1219
0.0000 0.5000 0.5000
0.1219 0.1219 0.6344
0.8781 0.8781 0.8781
0.8781 0.8781 0.3656
0.5000 0.5000 0.5000
0.2573 0.2573 0.7427
0.2573 0.7427 0.7427
0.7427 0.7427 0.2573
0.7427 0.2573 0.7427
0.2573 0.7427 0.2573
0.7427 0.2573 0.2573
```

## Properties
Its calculated total energy is -2.45 eV per atom. The calculation puts the energy of formation at -0.091 eV per atom. As for the space-group type: Fm-3m, No. 225.

***

## LiOsRh (PBE)

Data for LiOsRh after structural relaxation.

Structure (POSCAR):
```
LiOsRh
1.0
-2.1217 -1.2206 1.1360
0.7717 -6.7195 -2.5746
2.3831 -1.0140 3.3613
Li Os Rh
2 2 2
direct
0.3761 0.8236 0.4144
0.0383 0.5011 0.4144
0.7114 0.1539 0.4143
0.1486 0.2793 0.9143
0.8236 0.9285 0.9143
0.4879 0.6016 0.9143
```

## Properties
Its calculated total energy is -6.84 eV per atom. The calculation puts the energy of formation at -0.010 eV per atom. As for the space-group type: Amm2, No. 38. Its energy relative to the lowest polymorph listed for this composition is 0.000 eV per atom.

***

## Pr5Nd7Er (PBE)

Data for Pr5Nd7Er after structural relaxation.

Structure (POSCAR):
```
Pr5Nd7Er
1.0
6.9290 0.0000 0.0000
3.4645 8.2365 0.2836
3.4645 0.2570 8.2374
Nd Pr Er
7 5 1
direct
0.4271 0.5729 0.5729
0.4827 0.8496 0.1850
0.9790 0.3368 0.7051
0.9790 0.7051 0.3368
0.2385 0.2615 0.2615
0.7329 0.2671 0.2671
0.4827 0.1850 0.8496
0.9936 0.0035 0.5583
0.4446 0.5583 0.0035
0.7664 0.7336 0.7336
0.4446 0.0035 0.5583
0.9936 0.5583 0.0035
0.0354 0.9646 0.9646
```

## Properties
Its calculated total energy is -4.53 eV per atom. The calculation puts the energy of formation at 0.228 eV per atom. As for the space-group type: Imm2, No. 44.

***

## Co2CuRhC (PBE)

Data for Co2CuRhC after structural relaxation.

Structure (POSCAR):
```
Co2CuRhC
1.0
-1.9148 1.3854 2.9201
-3.0858 -1.7930 -1.1729
1.0233 -3.1902 2.1846
Co C Cu Rh
2 1 1 1
direct
0.0000 0.5000 0.0000
0.5000 0.0000 0.0000
0.0000 0.0000 0.0000
0.5000 0.5000 0.5000
0.0000 0.0000 0.5000
```

## Properties
Its calculated total energy is -6.79 eV per atom. The calculation puts the energy of formation at 0.188 eV per atom. As for the space-group type: P4/mmm, No. 123. Its energy relative to the lowest polymorph listed for this composition is 0.000 eV per atom.

***

## NaGaBr2Cl (PBE)

Data for NaGaBr2Cl after structural relaxation.

Structure (POSCAR):
```
NaGaBr2Cl
1.0
5.4074 0.0000 0.0000
0.0000 5.4074 0.0000
0.0000 0.0000 5.0251
Br Ga Na Cl
2 1 1 1
direct
0.5000 0.0000 0.0000
0.0000 0.5000 0.0000
0.0000 0.0000 0.0000
0.5000 0.5000 0.5000
0.0000 0.0000 0.5000
```

## Properties
Its calculated total energy is -2.86 eV per atom. The calculation puts the uncorrected formation energy at -957 meV/atom. As for the space-group type: P4/mmm, No. 123.

***

## TeRu (PBE)

Data for TeRu after structural relaxation.

Structure (POSCAR):
```
TeRu
1.0
-2.6525 2.8188 -4.1745
-6.9905 -0.3986 4.1727
1.6309 6.5007 3.3533
Ru Te
8 8
direct
0.6912 0.6495 0.4175
0.0257 0.8570 0.2072
0.3088 0.1495 0.0825
0.9743 0.3570 0.2928
0.5257 0.6430 0.7928
0.1912 0.8505 0.5825
0.8088 0.3505 0.9175
0.4743 0.1430 0.7072
0.7320 0.3719 0.5787
0.2680 0.8719 0.9213
0.7458 0.8891 0.6384
0.2458 0.6109 0.3616
0.7542 0.1109 0.1384
0.2320 0.1281 0.4213
0.7680 0.6281 0.0787
0.2542 0.3891 0.8616
```

## Properties
Its calculated total energy is -6.17 eV per atom. The calculation puts the uncorrected formation energy at 34 meV/atom. As for the space-group type: P2_12_12_1, No. 19.

***

## CuNiPt4 (PBE)

Data for CuNiPt4 after structural relaxation.

Structure (POSCAR):
```
CuNiPt4
1.0
0.0000 3.6734 3.6734
3.6734 0.0000 3.6734
3.6734 3.6734 0.0000
Pt Ni Cu
4 1 1
direct
0.3750 0.3750 0.8751
0.3750 0.3750 0.3750
0.8751 0.3750 0.3750
0.3750 0.8751 0.3750
0.0000 0.0000 0.0000
0.7500 0.7500 0.7500
```

## Properties
Its calculated total energy is -5.39 eV per atom. The calculation puts the energy of formation at 0.285 eV per atom. As for the space-group type: F-43m, No. 216. Its energy relative to the lowest polymorph listed for this composition is 0.391 eV per atom.

***

## FeTeP2S (PBE)

Data for FeTeP2S after structural relaxation.

Structure (POSCAR):
```
FeTeP2S
1.0
5.0345 0.0000 0.0000
0.0000 4.9640 0.0000
0.0000 0.0000 5.0345
P Fe Te S
2 1 1 1
direct
0.5000 0.0000 0.0000
0.0000 0.0000 0.5000
0.5000 0.5000 0.5000
0.0000 0.0000 0.0000
0.0000 0.5000 0.0000
```

## Properties
Its calculated total energy is -3.84 eV per atom. The calculation puts the uncorrected formation energy at 1474 meV/atom. As for the space-group type: P4/mmm, No. 123. Its energy relative to the lowest polymorph listed for this composition is 1.051 eV per atom.

***

## Ba4FeRu (PBE)

Data for Ba4FeRu after structural relaxation.

Structure (POSCAR):
```
Ba4FeRu
1.0
0.0000 4.8512 4.8512
4.8512 0.0000 4.8512
4.8512 4.8512 0.0000
Ba Fe Ru
4 1 1
direct
0.3746 0.3746 0.3746
0.3746 0.3746 0.8761
0.8761 0.3746 0.3746
0.3746 0.8761 0.3746
0.7500 0.7500 0.7500
0.0000 0.0000 0.0000
```

## Properties
Its calculated total energy is -2.82 eV per atom. The calculation puts the energy of formation at 1.417 eV per atom. As for the space-group type: F-43m, No. 216.

***

## Ba3CaY3Te8 (PBE)

Data for Ba3CaY3Te8 after structural relaxation.

Structure (POSCAR):
```
Ba3CaY3Te8
1.0
9.0878 0.0000 0.0000
-4.5439 7.8685 -0.0294
0.0000 -5.2172 7.9542
Te Y Ba Ca
8 3 3 1
direct
0.7283 0.9736 0.7189
0.2453 0.9736 0.7189
0.2717 0.0264 0.2811
0.7547 0.5093 0.2811
0.7547 0.0264 0.2811
0.2453 0.4907 0.7189
0.2612 0.5224 0.2837
0.7388 0.4776 0.7163
0.0000 0.5000 0.5000
0.5000 0.5000 0.5000
0.5000 0.0000 0.5000
0.5000 0.5000 0.0000
0.0000 0.0000 0.0000
0.0000 0.5000 0.0000
0.0000 0.0000 0.5000
```

## Properties
Its calculated total energy is -5.05 eV per atom. The calculation puts the uncorrected formation energy at -1566 meV/atom. As for the space-group type: R-3m, No. 166.

***

## BaNa2Li6 (PBE)

Data for BaNa2Li6 after structural relaxation.

Structure (POSCAR):
```
BaNa2Li6
1.0
-2.6707 -5.0194 -0.3203
1.4757 -4.4710 7.1360
-4.2545 -1.4311 7.2761
Na Li Ba
2 6 1
direct
0.8783 0.6217 0.6217
0.1217 0.3783 0.3783
0.6940 0.5527 0.0592
0.6940 0.0592 0.5527
0.5000 0.7028 0.2972
0.3060 0.9408 0.4473
0.3060 0.4473 0.9408
0.5000 0.2972 0.7028
0.0000 0.0000 0.0000
```

## Properties
Its calculated total energy is -1.65 eV per atom. The calculation puts the energy of formation at 0.130 eV per atom. As for the space-group type: Immm, No. 71.

***

## TiSnS2 (PBE)

Data for TiSnS2 after structural relaxation.

Structure (POSCAR):
```
TiSnS2
1.0
-4.8412 -2.0017 -4.2148
-0.9310 -5.5371 3.6990
-5.1424 -2.1670 1.5728
S Ti Sn
4 2 2
direct
0.7500 0.2500 0.0000
0.2500 0.7500 0.0000
0.2500 0.2500 0.0000
0.7500 0.7500 0.0000
0.7500 0.7500 0.5000
0.2500 0.2500 0.5000
0.2500 0.7500 0.5000
0.7500 0.2500 0.5000
```

## Properties
Its calculated total energy is -5.33 eV per atom. The calculation puts the uncorrected formation energy at -288 meV/atom. As for the space-group type: P4/mmm, No. 123.

***

## LiPmNdTe3 (PBE)

Data for LiPmNdTe3 after structural relaxation.

Structure (POSCAR):
```
LiPmNdTe3
1.0
4.3122 0.0000 0.0000
0.0000 9.1485 0.1029
0.0000 -2.3077 9.3311
Pm Te Li Nd
2 6 2 2
direct
0.2500 0.6662 0.1609
0.7500 0.3338 0.8391
0.7500 0.9113 0.1252
0.2500 0.0887 0.8748
0.2500 0.5749 0.8214
0.2500 0.7738 0.5034
0.7500 0.4251 0.1786
0.7500 0.2262 0.4966
0.2500 0.0847 0.5856
0.7500 0.9153 0.4144
0.7500 0.8144 0.7703
0.2500 0.1856 0.2297
```

## Properties
Its calculated total energy is -4.78 eV per atom. The calculation puts the uncorrected formation energy at -1307 meV/atom. As for the space-group type: P2_1/m, No. 11.

***

## TbNd2Th (PBE)

Data for TbNd2Th after structural relaxation.

Structure (POSCAR):
```
TbNd2Th
1.0
7.2200 0.0000 0.0000
0.0000 6.2900 -0.2859
-3.6100 -1.7972 6.0110
Tb Th Nd
2 2 4
direct
0.3716 0.2500 0.0000
0.6284 0.7500 0.0000
0.8833 0.2500 0.0000
0.1167 0.7500 0.0000
0.6256 0.7521 0.5046
0.3744 0.2479 0.4954
0.8790 0.2521 0.5046
0.1210 0.7479 0.4954
```

## Properties
Its calculated total energy is -5.35 eV per atom. The calculation puts the energy of formation at 0.049 eV per atom. As for the space-group type: C2/c, No. 15. Its energy relative to the lowest polymorph listed for this composition is 0.020 eV per atom.

***

## YTlAu2 (PBE)

Data for YTlAu2 after structural relaxation.

Structure (POSCAR):
```
YTlAu2
1.0
5.4669 -1.9683 -3.0396
-1.8408 5.5111 3.0396
-3.7625 0.2238 5.3660
Tl Au Y
1 2 1
direct
0.0000 0.5000 0.5000
0.0000 0.7486 0.7486
0.0000 0.2514 0.2514
0.0000 0.0000 0.0000
```

## Properties
Its calculated total energy is -3.81 eV per atom. The calculation puts the energy of formation at 0.037 eV per atom. As for the space-group type: Immm, No. 71.

***

## CoPd2RhCl (PBE)

Data for CoPd2RhCl after structural relaxation.

Structure (POSCAR):
```
CoPd2RhCl
1.0
4.7004 0.0000 0.0000
0.0000 4.0820 0.0000
0.0000 0.0000 4.7004
Rh Pd Co Cl
1 2 1 1
direct
0.5000 0.5000 0.5000
0.5000 0.0000 0.0000
0.0000 0.0000 0.5000
0.0000 0.0000 0.0000
0.0000 0.5000 0.0000
```

## Properties
Its calculated total energy is -4.40 eV per atom. The calculation puts the uncorrected formation energy at 937 meV/atom. As for the space-group type: P4/mmm, No. 123.

***

## RbCu2SiSe (PBE)

Data for RbCu2SiSe after structural relaxation.

Structure (POSCAR):
```
RbCu2SiSe
1.0
-3.1038 -3.3448 -0.9025
1.4584 -2.5562 4.4582
-3.2233 2.3439 2.3984
Rb Cu Se Si
1 2 1 1
direct
0.5000 0.5000 0.5000
0.0000 0.0000 0.5000
0.5000 0.0000 0.0000
0.0000 0.5000 0.0000
0.0000 0.0000 0.0000
```

## Properties
Its calculated total energy is -3.56 eV per atom. The calculation puts the uncorrected formation energy at 55 meV/atom. As for the space-group type: P4/mmm, No. 123.

***

## IrOs2W (PBE)

Data for IrOs2W after structural relaxation.

Structure (POSCAR):
```
IrOs2W
1.0
4.7664 -0.0007 0.0028
3.9688 2.6394 0.0028
0.8184 0.2472 4.7079
W Ir Os
1 1 2
direct
0.7500 0.7500 0.7500
0.2500 0.2500 0.2500
0.4991 0.4991 0.4988
0.0009 0.0009 0.0012
```

## Properties
Its calculated total energy is -11.06 eV per atom. The calculation puts the energy of formation at 0.006 eV per atom. As for the space-group type: C2/m, No. 12. Its energy relative to the lowest polymorph listed for this composition is 0.129 eV per atom.

***

## V12Si3Os (PBE)

Data for V12Si3Os after structural relaxation.

Structure (POSCAR):
```
V12Si3Os
1.0
-3.6963 -2.6003 -1.4084
-1.1283 -0.8388 4.5100
-5.4468 7.7044 0.0703
Si Os V
3 1 12
direct
0.5000 0.5000 0.2477
0.5000 0.5000 0.7523
0.0000 0.0000 0.0000
0.0000 0.0000 0.5000
0.0000 0.2502 0.2491
0.5000 0.0000 0.8721
0.5000 0.0000 0.1279
0.0000 0.2502 0.7509
0.7471 0.5000 0.0000
0.5000 0.0000 0.6224
0.2502 0.5000 0.5000
0.7498 0.5000 0.5000
0.0000 0.7498 0.7509
0.2529 0.5000 0.0000
0.5000 0.0000 0.3776
0.0000 0.7498 0.2491
```

## Properties
Its calculated total energy is -8.99 eV per atom. The calculation puts the uncorrected formation energy at -434 meV/atom. As for the space-group type: Pmmm, No. 47.

***

## SrMnW (PBE)

Data for SrMnW after structural relaxation.

Structure (POSCAR):
```
SrMnW
1.0
-0.1000 -6.3965 1.0675
3.0595 -5.5890 1.2107
-0.0742 -0.2894 3.2504
W Sr Mn
1 1 1
direct
0.6194 0.6194 0.3806
0.3350 0.3350 0.6650
0.0456 0.0456 0.9544
```

## Properties
Its calculated total energy is -7.23 eV per atom. The calculation puts the energy of formation at 0.703 eV per atom. As for the space-group type: I4mm, No. 107. Its energy relative to the lowest polymorph listed for this composition is 0.000 eV per atom.